Computed, not measured: Ca2FeIr after structural relaxation at the PBE level of DFT.

a b c (Å): 5.8785 5.8785 4.8524
angles (deg): 65.63 65.63 36.19
Closest atoms and distances in Å follow each position.
Positions (direct):
Ir (0.7922, 0.7922, 0.7077)  2 Fe 2.39
Ca (0.0236, 0.0236, 0.9764)  4 Fe 3.14, 4 Ca 3.25-3.40, 4 Ir 3.26-3.36
Ca (0.2388, 0.2388, 0.2612)  4 Ir 3.08, 2 Fe 3.20, 4 Ca 3.25-3.40
Fe (0.4454, 0.4454, 0.5547)  2 Ir 2.39

## Properties
Offset from the most stable computed form (meV/atom): 68.6
Energy of formation from the pure elements (eV/atom): 0.041
Total moment (μB per atom): 0.737
E_tot (eV/atom): -5.29

=====

Computed, not measured: Tb2NdDy6Mg after structural relaxation at the PBE level of DFT.

a b c (Å): 6.6243 10.8936 10.8936
angles (deg): 125.44 85.96 85.96
Closest atoms and distances in Å follow each position.
Positions (direct):
Nd (0.7500, 0.0096, 0.9904)  4 Dy 3.24-3.43, 2 Nd 3.33, 4 Tb 3.40-3.60
Dy (0.9660, 0.9205, 0.2112)  2 Nd 3.24-3.43, 1 Mg 3.30, 5 Dy 3.33-3.49, 2 Tb 3.47-3.61
Dy (0.4660, 0.2112, 0.9205)  2 Nd 3.24-3.43, 1 Mg 3.30, 5 Dy 3.33-3.49, 2 Tb 3.47-3.61
Dy (0.7822, 0.4330, 0.9135)  6 Dy 3.34-3.57, 2 Mg 3.37-3.39, 1 Tb 3.47
Tb (0.5021, 0.8209, 0.6542)  2 Nd 3.40-3.60, 7 Dy 3.47-3.64, 1 Mg 3.60
Dy (0.0340, 0.0795, 0.7888)  2 Nd 3.24-3.43, 1 Mg 3.30, 5 Dy 3.33-3.49, 2 Tb 3.47-3.61
Dy (0.4811, 0.4787, 0.3064)  1 Mg 3.23, 3 Dy 3.46-3.57, 3 Tb 3.47-3.53
Dy (0.9811, 0.3064, 0.4787)  1 Mg 3.23, 3 Dy 3.46-3.57, 3 Tb 3.47-3.53
Dy (0.2822, 0.9135, 0.4330)  6 Dy 3.34-3.57, 2 Mg 3.37-3.39, 1 Tb 3.47
Dy (0.2178, 0.5670, 0.0865)  6 Dy 3.34-3.57, 2 Mg 3.37-3.39, 1 Tb 3.47
Dy (0.5189, 0.5213, 0.6936)  1 Mg 3.23, 3 Dy 3.46-3.57, 3 Tb 3.47-3.53
Tb (0.0021, 0.6542, 0.8209)  2 Nd 3.40-3.60, 7 Dy 3.47-3.64, 1 Mg 3.60
Dy (0.0189, 0.6936, 0.5213)  1 Mg 3.23, 3 Dy 3.46-3.57, 3 Tb 3.47-3.53
Mg (0.7500, 0.7077, 0.2923)  8 Dy 3.23-3.39, 2 Tb 3.60
Dy (0.5340, 0.7888, 0.0795)  2 Nd 3.24-3.43, 1 Mg 3.30, 5 Dy 3.33-3.49, 2 Tb 3.47-3.61
Nd (0.2500, 0.9904, 0.0096)  4 Dy 3.24-3.43, 2 Nd 3.33, 4 Tb 3.40-3.60
Dy (0.7178, 0.0865, 0.5670)  6 Dy 3.34-3.57, 2 Mg 3.37-3.39, 1 Tb 3.47
Tb (0.4979, 0.1791, 0.3458)  2 Nd 3.40-3.60, 7 Dy 3.47-3.64, 1 Mg 3.60
Mg (0.2500, 0.2923, 0.7077)  8 Dy 3.23-3.39, 2 Tb 3.60
Tb (0.9979, 0.3458, 0.1791)  2 Nd 3.40-3.60, 7 Dy 3.47-3.64, 1 Mg 3.60

## Properties
Energy of formation from the pure elements (eV/atom): 0.114
Total moment (μB per atom): 0.000
E_tot (eV/atom): -4.21

=====

Computed, not measured: NaFeS2N after structural relaxation at the PBE level of DFT.

a b c (Å): 4.8016 4.8016 3.4385
angles (deg): 90.00 90.00 90.00
Closest atoms and distances in Å follow each position.
Positions (direct):
N (0.0000, 0.0000, 0.5000)  2 Fe 1.72
S (0.0000, 0.5000, 0.0000)  2 Fe 2.40
Na (0.5000, 0.5000, 0.5000)  8 S 2.95
S (0.5000, 0.0000, 0.0000)  2 Fe 2.40
Fe (0.0000, 0.0000, 0.0000)  2 N 1.72

## Properties
Raw formation energy (eV/f.u.): 0.2
Offset from the most stable computed form (meV/atom): 0.0
Total moment (μB per atom): 0.323
E_tot (eV/atom): -5.22

=====

Computed, not measured: Sr2PrNpP4 after structural relaxation at the PBE level of DFT.

a b c (Å): 4.2089 7.2579 7.3611
angles (deg): 109.07 90.00 90.00
Closest atoms and distances in Å follow each position.
Positions (direct):
Sr (0.5000, 0.0000, 0.5000)  6 P 3.19-3.23
P (0.0000, 0.2779, 0.7869)  2 Np 2.80, 1 Pr 2.93, 1 Sr 3.05
P (0.0000, 0.7221, 0.2131)  2 Np 2.80, 1 Pr 2.93, 1 Sr 3.05
P (0.5000, 0.7383, 0.7798)  1 Np 2.73, 2 Pr 2.94, 2 Sr 3.06
Sr (0.0000, 0.5000, 0.5000)  6 P 3.05-3.06
P (0.5000, 0.2617, 0.2202)  1 Np 2.73, 2 Pr 2.94, 2 Sr 3.06
Pr (0.0000, 0.0000, 0.0000)  6 P 2.93-2.94
Np (0.5000, 0.5000, 0.0000)  6 P 2.73-2.80

## Properties
Energy of formation from the pure elements (eV/atom): -1.082
Total moment (μB per atom): 0.250
E_tot (eV/atom): -6.42

=====

Computed, not measured: ScCu2H2 after structural relaxation at the PBE level of DFT.

a b c (Å): 3.5901 3.5901 4.7276
angles (deg): 67.68 67.68 90.00
Closest atoms and distances in Å follow each position.
Positions (direct):
H (0.2500, 0.7500, 0.5000)  4 Cu 1.94
Cu (0.3424, 0.3424, 0.3152)  4 H 1.94
H (0.7500, 0.2500, 0.5000)  4 Cu 1.94
Cu (0.6576, 0.6576, 0.6848)  4 H 1.94
Sc (0.0000, 0.0000, 0.0000)  8 H 2.68, 10 Cu 2.73-2.83

## Properties
Offset from the most stable computed form (meV/atom): 165.9
Total moment (μB per atom): 0.000
E_tot (eV/atom): -4.22

=====

Computed, not measured: V13Cu2 after structural relaxation at the PBE level of DFT.

a b c (Å): 6.6785 6.6785 7.2715
angles (deg): 62.66 62.66 60.00
Closest atoms and distances in Å follow each position.
Positions (direct):
V (0.3872, 0.9997, 0.2260)  5 V 2.43-2.59, 2 Cu 2.48-2.52
V (0.7439, 0.7439, 0.3802)  6 V 2.43-2.59
V (0.6128, 0.0003, 0.7740)  5 V 2.43-2.59, 2 Cu 2.48-2.52
V (0.2561, 0.2561, 0.6198)  6 V 2.43-2.59
V (0.5000, 0.5000, 0.5000)  2 Cu 2.44, 6 V 2.47
Cu (0.6320, 0.6320, 0.1039)  7 V 2.44-2.52
Cu (0.3680, 0.3680, 0.8961)  7 V 2.44-2.52
V (0.6128, 0.6128, 0.7740)  5 V 2.43-2.59, 2 Cu 2.48-2.52
V (0.8679, 0.2561, 0.6198)  6 V 2.43-2.59
V (0.1321, 0.7439, 0.3802)  6 V 2.43-2.59
V (0.9997, 0.3872, 0.2260)  5 V 2.43-2.59, 2 Cu 2.48-2.52
V (0.3872, 0.3872, 0.2260)  5 V 2.43-2.59, 2 Cu 2.48-2.52
V (0.0003, 0.6128, 0.7740)  5 V 2.43-2.59, 2 Cu 2.48-2.52
V (0.2561, 0.8679, 0.6198)  6 V 2.43-2.59
V (0.7439, 0.1321, 0.3802)  6 V 2.43-2.59

## Properties
Energy of formation from the pure elements (eV/atom): 0.663
Total moment (μB per atom): 0.000
E_tot (eV/atom): -7.79

=====

Computed, not measured: Be2PtI after structural relaxation at the PBE level of DFT.

a b c (Å): 5.4568 5.4568 6.7393
angles (deg): 66.12 66.12 90.00
Closest atoms and distances in Å follow each position.
Positions (direct):
Be (0.3750, 0.3105, 0.7500)  2 Pt 2.19
Pt (0.7500, 0.2500, 0.5000)  4 Be 2.19
Pt (0.0000, 0.0000, 0.0000)  4 Be 2.19
I (0.5000, 0.5000, 0.0000)  4 Be 2.59
Be (0.6895, 0.1250, 0.2500)  2 Pt 2.19
Be (0.0605, 0.6250, 0.2500)  2 Pt 2.19
Be (0.8750, 0.9395, 0.7500)  2 Pt 2.19
I (0.2500, 0.7500, 0.5000)  4 Be 2.59

## Properties
Raw formation energy (eV/f.u.): 0.6
Offset from the most stable computed form (meV/atom): 0.0
Total moment (μB per atom): 0.000
E_tot (eV/atom): -3.62

=====

Computed, not measured: Na3BC after structural relaxation at the PBE level of DFT.

a b c (Å): 4.7966 4.7966 4.7966
angles (deg): 90.00 90.00 90.00
Closest atoms and distances in Å follow each position.
Positions (direct):
C (0.0000, 0.0000, 0.0000)  6 Na 2.40
Na (0.0000, 0.5000, 0.0000)  2 C 2.40
Na (0.0000, 0.0000, 0.5000)  2 C 2.40
B (0.5000, 0.5000, 0.5000)  12 Na 3.39
Na (0.5000, 0.0000, 0.0000)  2 C 2.40

## Properties
Offset from the most stable computed form (meV/atom): 0.0
Energy of formation from the pure elements (eV/atom): 1.640
Total moment (μB per atom): 0.000
E_tot (eV/atom): -2.33

=====

Computed, not measured: CaHo2TmHg4 after structural relaxation at the PBE level of DFT.

a b c (Å): 5.2409 5.2409 9.0826
angles (deg): 73.23 73.23 60.00
Closest atoms and distances in Å follow each position.
Positions (direct):
Ho (0.2508, 0.2508, 0.2475)  8 Hg 3.19-3.23
Hg (0.6233, 0.6233, 0.1302)  1 Tm 3.17, 4 Ho 3.19-3.23, 3 Ca 3.22
Hg (0.8735, 0.8735, 0.3795)  4 Ho 3.19-3.23, 3 Tm 3.20, 1 Ca 3.25
Ca (0.0000, 0.0000, 0.0000)  8 Hg 3.22-3.25
Hg (0.3767, 0.3767, 0.8698)  1 Tm 3.17, 4 Ho 3.19-3.23, 3 Ca 3.22
Ho (0.7492, 0.7492, 0.7525)  8 Hg 3.19-3.23
Tm (0.5000, 0.5000, 0.5000)  8 Hg 3.17-3.20
Hg (0.1265, 0.1265, 0.6205)  4 Ho 3.19-3.23, 3 Tm 3.20, 1 Ca 3.25

## Properties
Energy of formation from the pure elements (eV/atom): -0.509
Total moment (μB per atom): 0.000
E_tot (eV/atom): -2.61

=====

Computed, not measured: CsBa2NbS5 after structural relaxation at the PBE level of DFT.

a b c (Å): 4.8802 7.7698 8.5407
angles (deg): 117.06 106.60 90.00
Closest atoms and distances in Å follow each position.
Positions (direct):
S (0.6255, 0.3481, 0.2510)  1 Nb 2.50
S (0.3745, 0.6519, 0.7490)  1 Nb 2.50
Cs (0.0000, 0.5000, 0.0000)  10 S 3.72-3.88
Ba (0.2142, 0.2142, 0.4283)  7 S 3.09-3.25
S (0.0000, 0.0000, 0.0000)  2 Nb 2.44
Ba (0.7858, 0.7858, 0.5717)  7 S 3.09-3.25
S (0.3745, 0.0971, 0.7490)  1 Nb 2.50
Nb (0.5000, 0.0000, 0.0000)  6 S 2.44-2.50
S (0.6255, 0.9029, 0.2510)  1 Nb 2.50

## Properties
Raw formation energy (eV/f.u.): -13.4
Total moment (μB per atom): 0.000
E_tot (eV/atom): -5.42